First-principles (GGA-PBEsol) data for a geometry-optimized LaCoBr structure, as listed in Alexandria via LeMat-Bulk.

Unit cell a=4.7257 b=4.7257 c=4.7257 alpha=60.00 beta=60.00 gamma=60.00
Sites, in units of the cell vectors:
Br: 0.2500 0.2500 0.2500
Co: 0.0000 0.0000 0.0000
La: 0.5000 0.5000 0.5000

Summary:
- ρ: 6.2 g/cm³
- Density of states at the Fermi level: 7.06 states/eV/f.u.
- Formation energy from raw total energies: 0.40 eV per formula unit
- Space group: F-43m, No. 216

First-principles (GGA-PBEsol) data for a geometry-optimized BeCd2Pt structure, as listed in Alexandria via LeMat-Bulk.

Unit cell a=2.9136 b=2.9136 c=8.7815 alpha=80.45 beta=80.45 gamma=60.00
Sites, in units of the cell vectors:
Cd: 0.7447 0.7447 0.7659
Cd: 0.2553 0.2553 0.2341
Be: 0.0000 0.0000 0.0000
Pt: 0.5000 0.5000 0.5000

Summary:
- ρ: 11.2 g/cm³
- ΔE_f: 0.161 eV/atom
- Density of states at the Fermi level: 1.76 states/eV/f.u.
- Space group: R-3m, No. 166

First-principles (GGA-PBEsol) data for a geometry-optimized RbSr2TaTl structure, as listed in Alexandria via LeMat-Bulk.

Unit cell a=5.0606 b=5.8294 c=5.8294 alpha=90.00 beta=90.00 gamma=90.00
Sites, in units of the cell vectors:
Ta: 0.5000 0.0000 0.0000
Tl: 0.5000 0.5000 0.5000
Rb: 0.0000 0.0000 0.0000
Sr: 0.0000 0.0000 0.5000
Sr: 0.0000 0.5000 0.0000

Summary:
- ρ: 6.2 g/cm³
- ΔE_f: 1.650 eV/atom
- Density of states at the Fermi level: 5.46 states/eV/f.u.
- Space group: P4/mmm, No. 123

First-principles (GGA-PBEsol) data for a geometry-optimized NiSbMo structure, as listed in Alexandria via LeMat-Bulk.

Unit cell a=3.0410 b=3.3356 c=5.0874 alpha=109.14 beta=107.39 gamma=90.00
Sites, in units of the cell vectors:
Ni: 0.6653 0.6653 0.3306
Mo: 0.0120 0.0120 0.0240
Sb: 0.3227 0.3227 0.6454

Summary:
- ρ: 9.9 g/cm³
- Density of states at the Fermi level: 3.40 states/eV/f.u.
- Formation energy from raw total energies: 0.76 eV per formula unit
- Space group: Imm2, No. 44

First-principles (GGA-PBEsol) data for a geometry-optimized KCd2Rh structure, as listed in Alexandria via LeMat-Bulk.

Unit cell a=3.1035 b=5.1770 c=5.5767 alpha=113.50 beta=90.00 gamma=90.00
Sites, in units of the cell vectors:
Rh: 0.0000 0.5000 0.5000
Cd: 0.0000 0.0000 0.0000
Cd: 0.5000 0.0000 0.5000
K: 0.5000 0.5000 0.0000

Summary:
- ρ: 7.4 g/cm³
- ΔE_f: 0.433 eV/atom
- Density of states at the Fermi level: 2.57 states/eV/f.u.
- Space group: P2/m, No. 10

First-principles (GGA-PBEsol) data for a geometry-optimized In2NiAu structure, as listed in Alexandria via LeMat-Bulk.

Unit cell a=3.1323 b=3.1323 c=8.5861 alpha=79.49 beta=79.49 gamma=60.00
Sites, in units of the cell vectors:
Ni: 0.5000 0.5000 0.5000
In: 0.7574 0.7574 0.7278
In: 0.2426 0.2426 0.2722
Au: 0.0000 0.0000 0.0000

Summary:
- ρ: 11.3 g/cm³
- ΔE_f: 0.005 eV/atom
- Density of states at the Fermi level: 1.93 states/eV/f.u.
- Space group: R-3m, No. 166

> The lowest density of states at the Fermi level belongs to which entry?

BeCd2Pt

> Which of these has the lowest density of states at the Fermi level?

BeCd2Pt